Below is a geometry-optimized CuPd2PtAu6 structure, with properties calculated at the PBE-GGA level.

extended XYZ file:
```
20
Lattice="-0.953 -5.207 5.119 1.378 -4.926 -4.755 6.689 -0.289 2.237" Properties=species:S:1:pos:R:3 pbc="T T T"
Pd 2.474 -9.229 1.520
Pt 4.033 -2.608 -1.259
Au 0.778 -7.285 0.471
Au -0.349 -5.113 3.890
Au 1.885 -1.836 1.344
Au 5.145 -5.987 3.669
Pd 4.640 -1.193 1.081
Pd 6.009 -5.747 1.067
Pd 1.105 -4.675 1.534
Au 3.305 -6.560 1.318
Cu 2.868 -2.748 3.678
Au 5.229 -8.586 1.257
Au 4.704 -5.202 -1.333
Au 3.809 -3.862 1.283
Au 2.410 -5.221 3.934
Au 7.463 -5.309 -1.289
Au 6.336 -3.137 2.130
Pt -0.476 -2.604 2.559
Au 1.969 -4.436 -1.068
Cu 0.689 -2.463 -2.378
```

Properties
- symmetry = P2_1/c
- DOS at the Fermi energy (states/eV per cell) = 7.16
- total energy (eV per atom) = -3.915
- formation energy (kJ/mol of formula units) = 100
- magnetic moment (μB per formula unit) = 0.00

***

Below is a geometry-optimized Co2ReNi structure, with properties calculated at the PBE-GGA level.

extended XYZ file:
```
4
Lattice="-0.452 -4.037 1.066 2.458 -0.136 0.527 -0.451 1.209 4.386" Properties=species:S:1:pos:R:3 pbc="T T T"
Co 0.093 0.006 0.063
Re 1.279 -1.214 4.217
Ni 0.276 -1.750 1.761
Co 0.911 0.530 2.394
```

Properties
- symmetry = P2/m
- DOS at the Fermi energy (states/eV per cell) = 5.50
- total energy (eV per atom) = -7.929
- formation energy (kJ/mol of formula units) = 70
- magnetic moment (μB per formula unit) = 2.90

***

Below is a geometry-optimized Ac2Cu2Ag structure, with properties calculated at the PBE-GGA level.

extended XYZ file:
```
5
Lattice="-2.828 2.279 -1.872 0.146 -2.585 -3.366 -5.494 -2.951 4.707" Properties=species:S:1:pos:R:3 pbc="T T T"
Ac -2.723 -1.235 -1.848
Ag 0.000 0.000 0.000
Cu -2.226 -1.742 1.242
Ac -5.453 -2.022 1.317
Cu -3.122 -3.794 0.100
```

Properties
- symmetry = Cmmm
- DOS at the Fermi energy (states/eV per cell) = 2.27
- total energy (eV per atom) = -4.071
- formation energy (kJ/mol of formula units) = -106
- magnetic moment (μB per formula unit) = 0.00